Entry 1:
{"formula": "Sc4POs", "functional": "GGA-PBE", "state": "relaxed", "lattice": [[2.839, -3.848, -2.588], [-2.018, -5.028, -0.449], [-1.683, -1.832, -4.834]], "species": ["Sc", "Sc", "Sc", "Sc", "P", "Os"], "fractional_positions": [[0.870, 0.377, 0.377], [0.377, 0.870, 0.377], [0.377, 0.377, 0.870], [0.377, 0.377, 0.377], [0.000, 0.000, 0.000], [0.750, 0.750, 0.750]], "e_form_kj_per_mol_fu": 282, "sg": "No. 216"}

---

Entry 2:
{"formula": "Ac8CoPb2", "functional": "GGA-PBE", "state": "relaxed", "lattice": [[4.878, 0.000, 0.000], [0.000, 8.606, 0.959], [-2.439, -2.287, 10.021]], "species": ["Ac", "Ac", "Ac", "Ac", "Ac", "Ac", "Ac", "Ac", "Pb", "Pb", "Co"], "fractional_positions": [[0.596, 0.525, 0.192], [0.363, 0.978, 0.727], [0.000, 0.210, 0.001], [0.000, 0.790, 0.999], [0.786, 0.651, 0.572], [0.637, 0.022, 0.273], [0.214, 0.349, 0.428], [0.404, 0.475, 0.808], [0.182, 0.769, 0.365], [0.818, 0.231, 0.635], [0.500, 0.000, 0.000]], "e_form_kj_per_mol_fu": -181, "sg": "No. 12"}

---

Entry 3:
{"formula": "AcLaPdCl", "functional": "GGA-PBE", "state": "relaxed", "lattice": [[-0.318, 2.150, -3.700], [-3.336, -2.275, 1.453], [-1.284, 5.641, 5.875]], "species": ["Ac", "La", "Cl", "Pd"], "fractional_positions": [[0.496, 0.146, 0.657], [0.112, 0.954, 0.081], [0.959, 0.378, 0.352], [0.311, 0.553, 0.880]], "e_form_raw_ev_per_atom": -1.15, "sg": "No. 160"}

---

| no. | V (Å³/atom) |
| --- | --- |
| 1 | 18.9 |
| 2 | 39.2 |
| 3 | 31.4 |